one.
Crystalline Nd3Tm3Te2Os at its relaxed geometry. Source: the Open Quantum Materials Database, functional PBE.

Properties
Mass density = 9177 kg/m³

Cell: 8.395 8.395 4.106 Å, 90.00 90.00 120.00°
Fractional positions:
Nd 0.000 0.397 0.000
Nd 0.397 0.000 0.000
Nd 0.603 0.603 0.000
Tm 0.000 0.769 0.500
Tm 0.231 0.231 0.500
Tm 0.769 0.000 0.500
Te 0.333 0.667 0.500
Te 0.667 0.333 0.500
Os 0.000 0.000 0.000

two.
Crystalline Nd3Tm3Te2Os at its relaxed geometry. Source: the Open Quantum Materials Database, functional PBE.

Properties
Mass density = 9218 kg/m³

Cell: 8.491 8.491 3.996 Å, 90.00 90.00 120.00°
Fractional positions:
Nd 0.000 0.753 0.000
Nd 0.247 0.247 0.000
Nd 0.753 0.000 0.000
Tm 0.000 0.394 0.500
Tm 0.394 0.000 0.500
Tm 0.606 0.606 0.500
Te 0.333 0.667 0.000
Te 0.667 0.333 0.000
Os 0.000 0.000 0.500

Short version: two is the least stable of them.

one.
Crystalline Nd3Y3Te2Os at its relaxed geometry. Source: the Open Quantum Materials Database, functional PBE.

Properties
Mass density = 7444 kg/m³

Cell: 8.461 8.461 4.120 Å, 90.00 90.00 120.00°
Fractional positions:
Nd 0.000 0.398 0.000
Nd 0.398 0.000 0.000
Nd 0.602 0.602 0.000
Y 0.000 0.765 0.500
Y 0.235 0.235 0.500
Y 0.765 0.000 0.500
Te 0.333 0.667 0.500
Te 0.667 0.333 0.500
Os 0.000 0.000 0.000

two.
Crystalline Nd3Y3Te2Os at its relaxed geometry. Source: the Open Quantum Materials Database, functional PBE.

Properties
Mass density = 7490 kg/m³

Cell: 8.548 8.548 4.011 Å, 90.00 90.00 120.00°
Fractional positions:
Nd 0.000 0.756 0.000
Nd 0.244 0.244 0.000
Nd 0.756 0.000 0.000
Y 0.000 0.399 0.500
Y 0.399 0.000 0.500
Y 0.601 0.601 0.500
Te 0.333 0.667 0.000
Te 0.667 0.333 0.000
Os 0.000 0.000 0.500

Short version: two is the least stable of them.

one.
Crystalline NdZrOs at its relaxed geometry. Source: the Open Quantum Materials Database, functional PBE.

Properties
Mass density = 9866 kg/m³

Cell: 4.662 4.662 4.662 Å, 60.00 60.00 60.00°
Fractional positions:
Nd 0.000 0.000 0.000
Zr 0.250 0.250 0.250
Os 0.750 0.750 0.750

two.
Crystalline NdZrOs at its relaxed geometry. Source: the Open Quantum Materials Database, functional PBE.

Properties
Mass density = 9919 kg/m³

Cell: 4.654 4.654 4.654 Å, 60.00 60.00 60.00°
Fractional positions:
Nd 0.000 0.000 0.000
Zr 0.250 0.250 0.250
Os 0.500 0.500 0.500

Short version: one is the least stable of them.

one.
Crystalline NdPa at its relaxed geometry. Source: the Open Quantum Materials Database, functional PBE.

Properties
Mass density = 10714 kg/m³

Cell: 4.349 4.349 4.349 Å, 60.00 60.00 60.00°
Fractional positions:
Nd 0.000 0.000 0.000
Pa 0.500 0.500 0.500

two.
Crystalline NdPa at its relaxed geometry. Source: the Open Quantum Materials Database, functional PBE.

Properties
Mass density = 10821 kg/m³

Cell: 3.342 3.342 5.955 Å, 90.00 90.00 120.00°
Fractional positions:
Nd 0.000 0.000 0.000
Pa 0.667 0.333 0.500

Short version: one is the least stable of them.

one.
Crystalline NdScPb at its relaxed geometry. Source: the Open Quantum Materials Database, functional PBE.

Properties
Mass density = 7587 kg/m³

Cell: 4.537 4.537 8.431 Å, 90.00 90.00 90.00°
Fractional positions:
Nd 0.250 0.250 0.153
Nd 0.750 0.750 0.847
Sc 0.250 0.750 0.500
Sc 0.750 0.250 0.500
Pb 0.250 0.250 0.753
Pb 0.750 0.750 0.247

two.
Crystalline NdScPb at its relaxed geometry. Source: the Open Quantum Materials Database, functional PBE.

Properties
Mass density = 7022 kg/m³

Cell: 5.099 5.099 5.099 Å, 60.00 60.00 60.00°
Fractional positions:
Nd 0.000 0.000 0.000
Sc 0.250 0.250 0.250
Pb 0.500 0.500 0.500

Short version: two is the least stable of them.

one.
Crystalline NdSmZn2Pb2 at its relaxed geometry. Source: the Open Quantum Materials Database, functional PBE.

Properties
Mass density = 9058 kg/m³

Cell: 4.650 4.650 16.443 Å, 90.00 90.00 120.00°
Fractional positions:
Nd 0.000 0.000 0.000
Nd 0.000 0.000 0.500
Sm 0.000 0.000 0.250
Sm 0.000 0.000 0.750
Zn 0.333 0.667 0.164
Zn 0.333 0.667 0.336
Zn 0.667 0.333 0.664
Zn 0.667 0.333 0.836
Pb 0.333 0.667 0.613
Pb 0.333 0.667 0.887
Pb 0.667 0.333 0.113
Pb 0.667 0.333 0.387

two.
Crystalline NdSmZn2Pb2 at its relaxed geometry. Source: the Open Quantum Materials Database, functional PBE.

Properties
Mass density = 9015 kg/m³

Cell: 4.661 4.661 16.444 Å, 90.00 90.00 120.00°
Fractional positions:
Nd 0.000 0.000 0.250
Nd 0.000 0.000 0.750
Sm 0.000 0.000 0.000
Sm 0.000 0.000 0.500
Zn 0.333 0.667 0.163
Zn 0.333 0.667 0.337
Zn 0.667 0.333 0.663
Zn 0.667 0.333 0.837
Pb 0.333 0.667 0.611
Pb 0.333 0.667 0.889
Pb 0.667 0.333 0.111
Pb 0.667 0.333 0.389

Short version: two is the least stable of them.